## Mg6Cu2Pd (GGA-PBE)

Data for an optimized crystal structure of Mg6Cu2Pd.

Output
uncorrected energy = -2.78 eV/atom
crystal system = orthorhombic
mass density = 3.812 g/cm³

Cell lengths 7.5550, 7.5550, 7.5550 Å; angles 105.77, 109.37, 113.36 degrees
Last column: nearest neighbours and their distance in Å.
Positions (direct):
Mg1 0.5406 0.8185 0.7220  3 Cu 2.74-2.78, 1 Pd 2.86, 1 Mg 3.01
Mg2 0.4594 0.1815 0.2780  3 Cu 2.74-2.78, 1 Pd 2.86, 1 Mg 3.01
Mg3 0.0965 0.8185 0.2780  3 Cu 2.74-2.78, 1 Pd 2.86, 1 Mg 3.01
Mg4 0.9035 0.1815 0.7220  3 Cu 2.74-2.78, 1 Pd 2.86, 1 Mg 3.01
Mg5 0.8075 0.0578 0.2503  2 Cu 2.61-2.76, 2 Pd 2.78-2.79
Mg6 0.1925 0.9422 0.7497  2 Cu 2.61-2.76, 2 Pd 2.78-2.79
Mg7 0.1925 0.4428 0.2503  2 Cu 2.61-2.76, 2 Pd 2.78-2.79
Mg8 0.8075 0.5572 0.7497  2 Cu 2.61-2.76, 2 Pd 2.78-2.79
Mg9 0.7139 0.3324 0.0463  3 Cu 2.60-2.73
Mg10 0.2861 0.6676 0.9537  3 Cu 2.60-2.73
Mg11 0.2861 0.3324 0.6185  3 Cu 2.60-2.73
Mg12 0.7139 0.6676 0.3815  3 Cu 2.60-2.73
Cu1 0.5000 0.1336 0.6336  1 Cu 2.44, 2 Mg 2.60
Cu2 0.5000 0.8664 0.3664  1 Cu 2.44, 2 Mg 2.60
Cu3 0.6549 0.6549 0.0000  1 Cu 2.57, 8 Mg 2.61-2.78, 1 Pd 2.86
Cu4 0.3451 0.3451 0.0000  1 Cu 2.57, 8 Mg 2.61-2.78, 1 Pd 2.86
Pd1 0.0000 0.5000 0.5000  8 Mg 2.78-2.93
Pd2 0.0000 0.0000 0.0000  8 Mg 2.79-2.86, 2 Cu 2.86